An optimized crystal structure of K3AgAu3, computed with PBE. Values from VASP.

Quantum ESPRESSO input file:
```
&SYSTEM
  ibrav = 0, nat = 14, ntyp = 3
/
ATOMIC_SPECIES
Au 196.97 Au.upf
K 39.10 K.upf
Ag 107.87 Ag.upf
ATOMIC_POSITIONS crystal
Au 0.9430 0.8759 0.2382
Au 0.0570 0.1241 0.7618
Au 0.8920 0.1362 0.0798
Au 0.8719 0.7163 0.5400
Au 0.1281 0.2837 0.4600
Au 0.1080 0.8638 0.9202
K 0.2434 0.2784 0.2349
K 0.7566 0.7216 0.7651
K 0.6023 0.7189 0.0765
K 0.5263 0.3278 0.6196
K 0.4737 0.6722 0.3804
K 0.3977 0.2811 0.9235
Ag 0.7567 0.0760 0.4105
Ag 0.2433 0.9240 0.5895
CELL_PARAMETERS angstrom
-1.0493 -1.4156 -4.4826
-5.1201 -3.8092 -0.1862
-9.2951 11.4886 -4.0400
```

Results
magnetic moment	0.0	Bohr magnetons per cell
formation energy from the elements	-0.228	eV/atom
uncorrected energy	-35.14	eV per cell